No. 1
{"formula": "Pm7Er5", "functional": "PBE", "state": "optimized geometry", "lattice_angstrom": [[4.8403, -2.8777, 0.0000], [4.8403, 2.8777, 0.0000], [-3.4243, 0.0000, 14.3636]], "species": ["Pm", "Pm", "Pm", "Pm", "Pm", "Pm", "Pm", "Er", "Er", "Er", "Er", "Er"], "frac_coords": [[0.0000, 0.0000, 0.0000], [0.1843, 0.1843, 0.5832], [0.2635, 0.2635, 0.8291], [0.4539, 0.4539, 0.2871], [0.5461, 0.5461, 0.7129], [0.7365, 0.7365, 0.1709], [0.8157, 0.8157, 0.4168], [0.1202, 0.1202, 0.3010], [0.3570, 0.3570, 0.0592], [0.5000, 0.5000, 0.5000], [0.6430, 0.6430, 0.9408], [0.8798, 0.8798, 0.6990]], "magmom_total_mub_per_cell": 0.00, "space_group": "No. 12", "volume_a3_per_atom": 33.34, "dos_at_fermi_per_ev_atom": 1.600, "energy_ev_per_atom": -4.503}

***

No. 2
{"formula": "Pm13Er3", "functional": "PBE", "state": "optimized geometry", "lattice_angstrom": [[7.3427, 0.0000, 0.0000], [0.0000, 5.8267, 6.3517], [0.0000, -5.8267, 6.3517]], "species": ["Pm", "Pm", "Pm", "Pm", "Pm", "Pm", "Pm", "Pm", "Pm", "Pm", "Pm", "Pm", "Pm", "Er", "Er", "Er"], "frac_coords": [[0.0000, 0.0000, 0.0000], [0.0000, 0.4221, 0.9152], [0.0000, 0.5019, 0.5019], [0.0000, 0.9152, 0.4221], [0.2503, 0.2502, 0.2502], [0.2513, 0.1654, 0.6708], [0.2513, 0.6708, 0.1654], [0.5000, 0.4192, 0.9164], [0.5000, 0.5027, 0.5027], [0.5000, 0.9164, 0.4192], [0.7487, 0.1654, 0.6708], [0.7487, 0.6708, 0.1654], [0.7497, 0.2502, 0.2502], [0.2508, 0.7527, 0.7527], [0.5000, 0.9991, 0.9991], [0.7492, 0.7527, 0.7527]], "magmom_total_mub_per_cell": 0.00, "space_group": "No. 38", "volume_a3_per_atom": 33.97, "dos_at_fermi_per_ev_atom": 1.729, "energy_ev_per_atom": -4.686}

***

No. 3
{"formula": "Pm5Er", "functional": "PBE", "state": "optimized geometry", "lattice_angstrom": [[5.1269, 0.0000, 0.0000], [0.0000, 15.3946, 0.0000], [0.0000, 0.0000, 5.1241]], "species": ["Pm", "Pm", "Pm", "Pm", "Pm", "Pm", "Pm", "Pm", "Pm", "Pm", "Er", "Er"], "frac_coords": [[0.0000, 0.0000, 0.0000], [0.0000, 0.1655, 0.5000], [0.0000, 0.3339, 0.0000], [0.0000, 0.6661, 0.0000], [0.0000, 0.8346, 0.5000], [0.5000, 0.1661, 0.0000], [0.5000, 0.3346, 0.5000], [0.5000, 0.5000, 0.0000], [0.5000, 0.6654, 0.5000], [0.5000, 0.8339, 0.0000], [0.0000, 0.5000, 0.5000], [0.5000, 0.0000, 0.5000]], "magmom_total_mub_per_cell": 0.00, "space_group": "No. 65", "volume_a3_per_atom": 33.70, "dos_at_fermi_per_ev_atom": 1.441, "energy_ev_per_atom": -4.704}

***

No. 4
{"formula": "PmEr4", "functional": "PBE", "state": "optimized geometry", "lattice_angstrom": [[5.5827, 0.0000, 0.0000], [0.0000, 5.5827, 0.0000], [0.0000, 0.0000, 5.5827]], "species": ["Pm", "Er", "Er", "Er", "Er"], "frac_coords": [[0.0000, 0.0000, 0.0000], [0.0000, 0.0000, 0.5000], [0.0000, 0.5000, 0.0000], [0.5000, 0.0000, 0.0000], [0.5000, 0.5000, 0.5000]], "magmom_total_mub_per_cell": 0.00, "space_group": "No. 221", "volume_a3_per_atom": 34.80, "dos_at_fermi_per_ev_atom": 1.496, "energy_ev_per_atom": -3.885}

***

No. 5
{"formula": "PmEr2", "functional": "PBE", "state": "optimized geometry", "lattice_angstrom": [[0.0000, 4.6652, 4.6652], [4.6652, 0.0000, 4.6652], [4.6652, 4.6652, 0.0000]], "species": ["Pm", "Pm", "Er", "Er", "Er", "Er"], "frac_coords": [[0.1250, 0.1250, 0.1250], [0.8750, 0.8750, 0.8750], [0.0000, 0.5000, 0.5000], [0.5000, 0.0000, 0.5000], [0.5000, 0.5000, 0.0000], [0.5000, 0.5000, 0.5000]], "magmom_total_mub_per_cell": 3.22, "space_group": "No. 227", "volume_a3_per_atom": 33.85, "dos_at_fermi_per_ev_atom": 2.720, "energy_ev_per_atom": -4.335}

***

No. 6
{"formula": "Pm5Er3", "functional": "PBE", "state": "optimized geometry", "lattice_angstrom": [[5.0579, 0.0000, 0.0000], [0.0000, 5.1012, 0.0000], [0.0000, 0.0000, 10.1898]], "species": ["Pm", "Pm", "Pm", "Pm", "Pm", "Er", "Er", "Er"], "frac_coords": [[0.0000, 0.0000, 0.0000], [0.0000, 0.0000, 0.5000], [0.0000, 0.5000, 0.2479], [0.0000, 0.5000, 0.7521], [0.5000, 0.5000, 0.5000], [0.5000, 0.0000, 0.2479], [0.5000, 0.0000, 0.7521], [0.5000, 0.5000, 0.0000]], "magmom_total_mub_per_cell": 0.00, "space_group": "No. 47", "volume_a3_per_atom": 32.86, "dos_at_fermi_per_ev_atom": 1.594, "energy_ev_per_atom": -4.660}

***

No. 7
{"formula": "Pm7Er2", "functional": "PBE", "state": "optimized geometry", "lattice_angstrom": [[6.2688, 0.0000, 0.0000], [-3.1344, 5.4290, 0.0000], [0.0000, 0.0000, 8.8526]], "species": ["Pm", "Pm", "Pm", "Pm", "Pm", "Pm", "Pm", "Er", "Er"], "frac_coords": [[0.0000, 0.0000, 0.0000], [0.0000, 0.3343, 0.6694], [0.0000, 0.6657, 0.3306], [0.3343, 0.0000, 0.6694], [0.3343, 0.3343, 0.3306], [0.6657, 0.0000, 0.3306], [0.6657, 0.6657, 0.6694], [0.3333, 0.6667, 0.0000], [0.6667, 0.3333, 0.0000]], "magmom_total_mub_per_cell": 0.00, "space_group": "No. 162", "volume_a3_per_atom": 33.48, "dos_at_fermi_per_ev_atom": 1.352, "energy_ev_per_atom": -4.692}

***

No. 8
{"formula": "Pm5Er4", "functional": "PBE", "state": "optimized geometry", "lattice_angstrom": [[-5.3861, 5.3861, 2.5256], [5.3861, -5.3861, 2.5256], [5.3861, 5.3861, -2.5256]], "species": ["Pm", "Pm", "Pm", "Pm", "Pm", "Er", "Er", "Er", "Er"], "frac_coords": [[0.0000, 0.0000, 0.0000], [0.0000, 0.3312, 0.3312], [0.0000, 0.6688, 0.6688], [0.3312, 0.0000, 0.3312], [0.6688, 0.0000, 0.6688], [0.3334, 0.3334, 0.6668], [0.3334, 0.6666, 0.0000], [0.6666, 0.3334, 0.0000], [0.6666, 0.6666, 0.3332]], "magmom_total_mub_per_cell": 0.00, "space_group": "No. 139", "volume_a3_per_atom": 32.56, "dos_at_fermi_per_ev_atom": 1.422, "energy_ev_per_atom": -4.649}

***

No. 9
{"formula": "Pm13Er2", "functional": "PBE", "state": "optimized geometry", "lattice_angstrom": [[6.7398, 0.0000, 0.0000], [1.2418, 9.0199, 0.0000], [1.2346, 3.5244, 8.3076]], "species": ["Pm", "Pm", "Pm", "Pm", "Pm", "Pm", "Pm", "Pm", "Pm", "Pm", "Pm", "Pm", "Pm", "Er", "Er"], "frac_coords": [[0.0000, 0.0000, 0.0000], [0.1021, 0.4363, 0.7648], [0.1945, 0.1944, 0.2077], [0.2978, 0.6284, 0.9734], [0.3049, 0.9611, 0.6382], [0.3964, 0.3976, 0.4052], [0.4974, 0.1686, 0.8350], [0.5026, 0.8314, 0.1650], [0.6036, 0.6024, 0.5948], [0.6951, 0.0389, 0.3618], [0.7022, 0.3716, 0.0266], [0.8055, 0.8056, 0.7923], [0.8979, 0.5637, 0.2352], [0.0986, 0.7691, 0.4299], [0.9014, 0.2309, 0.5701]], "magmom_total_mub_per_cell": 0.00, "space_group": "No. 2", "volume_a3_per_atom": 33.67, "dos_at_fermi_per_ev_atom": 1.478, "energy_ev_per_atom": -4.667}

***

No. 10
{"formula": "Pm3Er4", "functional": "PBE", "state": "optimized geometry", "lattice_angstrom": [[11.2848, 0.0000, 0.0000], [0.0000, 5.0450, 0.0000], [-1.1411, 0.0000, 7.8939]], "species": ["Pm", "Pm", "Pm", "Pm", "Pm", "Pm", "Er", "Er", "Er", "Er", "Er", "Er", "Er", "Er"], "frac_coords": [[0.0000, 0.0000, 0.0000], [0.2136, 0.5000, 0.1458], [0.2864, 0.0000, 0.8542], [0.5000, 0.5000, 0.0000], [0.7136, 0.0000, 0.1458], [0.7864, 0.5000, 0.8542], [0.0724, 0.5000, 0.7096], [0.1422, 0.0000, 0.4295], [0.3578, 0.5000, 0.5705], [0.4276, 0.0000, 0.2904], [0.5724, 0.0000, 0.7096], [0.6422, 0.5000, 0.4295], [0.8578, 0.0000, 0.5705], [0.9276, 0.5000, 0.2904]], "magmom_total_mub_per_cell": 0.00, "space_group": "No. 12", "volume_a3_per_atom": 32.10, "dos_at_fermi_per_ev_atom": 1.412, "energy_ev_per_atom": -4.623}

***

No. 11
{"formula": "PmEr6", "functional": "PBE", "state": "optimized geometry", "lattice_angstrom": [[6.4740, 0.0000, 0.0000], [0.0000, 6.4740, 0.0000], [0.0000, 0.0000, 10.9061]], "species": ["Pm", "Pm", "Er", "Er", "Er", "Er", "Er", "Er", "Er", "Er", "Er", "Er", "Er", "Er"], "frac_coords": [[0.2500, 0.7500, 0.0000], [0.7500, 0.2500, 0.0000], [0.0815, 0.5815, 0.3633], [0.0815, 0.9185, 0.6367], [0.2500, 0.2500, 0.1419], [0.2500, 0.2500, 0.8581], [0.4185, 0.5815, 0.6367], [0.4185, 0.9185, 0.3633], [0.5815, 0.0815, 0.6367], [0.5815, 0.4185, 0.3633], [0.7500, 0.7500, 0.1419], [0.7500, 0.7500, 0.8581], [0.9185, 0.0815, 0.3633], [0.9185, 0.4185, 0.6367]], "magmom_total_mub_per_cell": 0.01, "space_group": "No. 125", "volume_a3_per_atom": 32.65, "dos_at_fermi_per_ev_atom": 1.583, "energy_ev_per_atom": -4.324}